No. 1
Rb2Cd3Hg8: relaxed, PBE.

Geometry as extended XYZ:
```
13
Lattice="9.096 -3.460 0.000 9.096 3.460 0.000 -1.487 0.000 6.272" Properties=species:S:1:pos:R:3 pbc="T T T"
Rb 2.970 0.000 1.908
Rb 13.736 0.000 4.364
Cd -0.744 0.000 3.136
Cd 9.096 1.954 0.000
Cd 9.096 -1.954 0.000
Hg 6.468 1.670 1.535
Hg 3.875 0.000 5.419
Hg 10.238 1.670 4.737
Hg 6.780 0.000 4.148
Hg 9.925 0.000 2.124
Hg 6.468 -1.670 1.535
Hg 12.831 0.000 0.853
Hg 10.238 -1.670 4.737
```

## Properties
ΔE_f ... -1.63 eV/f.u.
Total magnetization ... 0.0 Bohr magnetons per cell
Raw total energy ... -0.6711 eV/atom
D(E_F) ... 4.28 states/eV/cell
Mass density ... 8.9 g cm⁻³

=====

No. 2
Pm12DyTm7: relaxed, PBE.

Geometry as extended XYZ:
```
20
Lattice="6.024 3.478 5.369 -6.024 3.478 5.369 0.000 -6.956 5.369" Properties=species:S:1:pos:R:3 pbc="T T T"
Pm -1.926 -0.595 4.658
Pm -0.742 -3.251 7.154
Pm -3.187 -0.983 8.954
Pm 1.479 -1.370 4.658
Pm -2.444 2.268 7.154
Pm 0.447 1.966 4.658
Pm -0.447 -1.966 11.450
Pm 2.444 -2.268 8.954
Pm -1.479 1.370 11.450
Pm 3.187 0.983 7.154
Pm 0.742 3.251 8.954
Pm 1.926 0.595 11.450
Dy 0.000 0.000 0.000
Tm -5.306 0.578 6.718
Tm -3.154 -4.306 9.390
Tm 2.152 -4.884 6.718
Tm 0.000 0.000 8.054
Tm -2.152 4.884 9.390
Tm 3.154 4.306 6.718
Tm 5.306 -0.578 9.390
```

## Properties
ΔE_f ... 4.54 eV/f.u.
Total magnetization ... 0.0 Bohr magnetons per cell
Raw total energy ... -4.4187 eV/atom
D(E_F) ... 38.01 states/eV/cell
Excess energy over the best structure of this formula in the dataset ... 0.0000 eV/atom
Mass density ... 7.6 g cm⁻³

=====

No. 3
La2MgZn: relaxed, PBE.

Geometry as extended XYZ:
```
4
Lattice="1.852 1.069 9.998 -1.852 1.069 9.998 0.000 -2.138 9.998" Properties=species:S:1:pos:R:3 pbc="T T T"
La 0.000 0.000 0.000
La 0.000 0.000 6.985
Mg 0.000 0.000 22.812
Zn 0.000 0.000 14.652
```

## Properties
ΔE_f ... 0.08 eV/f.u.
Total magnetization ... 0.0 Bohr magnetons per cell
Raw total energy ... -3.1618 eV/atom
D(E_F) ... 4.58 states/eV/cell
Excess energy over the best structure of this formula in the dataset ... 0.2355 eV/atom
Mass density ... 5.1 g cm⁻³